Arrangement w

## Tc4Sb5 (GGA-PBE)

Data for Tc4Sb5 after structural relaxation.

a b c (Å): 6.673 6.673 6.673
angles (deg): 97.87 97.87 136.57
Element x y z (fractional)
1 Tc 0.370 0.000 0.370
2 Tc 0.630 0.000 0.630
3 Tc 0.000 0.630 0.630
4 Tc 0.000 0.370 0.370
5 Sb 0.000 0.000 0.000
6 Sb 0.318 0.682 0.000
7 Sb 0.682 0.318 0.000
8 Sb 0.682 0.682 0.364
9 Sb 0.318 0.318 0.636

* total moment: 0.000 μB per atom
* space group: I4/mmm (139)


Arrangement x

## Tc4Sb5 (GGA-PBE)

Data for Tc4Sb5 after structural relaxation.

a b c (Å): 8.080 8.080 6.121
angles (deg): 90.00 90.00 120.00
Element x y z (fractional)
1 Sb 0.000 0.726 0.250
2 Sb 0.274 0.274 0.250
3 Sb 0.726 0.000 0.250
4 Sb 0.000 0.274 0.750
5 Sb 0.726 0.726 0.750
6 Sb 0.274 0.000 0.750
7 Sb 0.667 0.333 0.000
8 Sb 0.333 0.667 0.500
9 Sb 0.333 0.667 0.000
10 Sb 0.667 0.333 0.500
11 Tc 0.000 0.000 0.000
12 Tc 0.000 0.000 0.500
13 Tc 0.000 0.400 0.250
14 Tc 0.600 0.600 0.250
15 Tc 0.400 0.000 0.250
16 Tc 0.000 0.600 0.750
17 Tc 0.400 0.400 0.750
18 Tc 0.600 0.000 0.750

* total moment: 0.000 μB per atom
* space group: P6_3/mcm (193)


Stability, lowest: arrangement w


Arrangement w

## Tc3Sb4 (GGA-PBE)

Data for Tc3Sb4 after structural relaxation.

a b c (Å): 3.396 6.796 7.846
angles (deg): 121.50 102.50 90.00
Element x y z (fractional)
1 Tc 0.000 0.000 0.000
2 Tc 0.749 0.805 0.498
3 Tc 0.251 0.195 0.502
4 Sb 0.847 0.556 0.694
5 Sb 0.153 0.444 0.306
6 Sb 0.599 0.879 0.198
7 Sb 0.401 0.121 0.802

* total moment: 0.000 μB per atom
* space group: C2/m (12)


Arrangement x

## Tc3Sb4 (GGA-PBE)

Data for Tc3Sb4 after structural relaxation.

a b c (Å): 5.250 5.250 6.173
angles (deg): 90.00 90.00 120.00
Element x y z (fractional)
1 Tc 0.000 0.500 0.000
2 Tc 0.500 0.500 0.000
3 Tc 0.500 0.000 0.000
4 Sb 0.000 0.000 0.237
5 Sb 0.000 0.000 0.763
6 Sb 0.667 0.333 0.500
7 Sb 0.333 0.667 0.500

* total moment: 0.000 μB per atom
* space group: P6/mmm (191)


Stability, lowest: arrangement x


Arrangement w

## Tc4Sb3 (GGA-PBE)

Data for Tc4Sb3 after structural relaxation.

a b c (Å): 14.640 14.640 14.640
angles (deg): 168.08 168.08 16.89
Element x y z (fractional)
1 Tc 0.879 0.879 0.000
2 Tc 0.121 0.121 0.000
3 Tc 0.565 0.565 0.000
4 Tc 0.435 0.435 0.000
5 Sb 0.000 0.000 0.000
6 Sb 0.687 0.687 0.000
7 Sb 0.313 0.313 0.000

* total moment: 0.000 μB per atom
* space group: I4/mmm (139)


Arrangement x

## Tc4Sb3 (GGA-PBE)

Data for Tc4Sb3 after structural relaxation.

a b c (Å): 5.854 5.854 4.563
angles (deg): 90.00 90.00 120.00
Element x y z (fractional)
1 Tc 0.000 0.000 0.254
2 Tc 0.000 0.000 0.746
3 Tc 0.667 0.333 0.500
4 Tc 0.333 0.667 0.500
5 Sb 0.000 0.500 0.000
6 Sb 0.500 0.500 0.000
7 Sb 0.500 0.000 0.000

* total moment: 0.000 μB per atom
* space group: P6/mmm (191)


Stability, lowest: arrangement x


Arrangement w

## Tc3Sb2 (GGA-PBE)

Data for Tc3Sb2 after structural relaxation.

a b c (Å): 10.843 10.843 10.843
angles (deg): 16.42 16.42 16.42
Element x y z (fractional)
1 Tc 0.000 0.000 0.000
2 Tc 0.805 0.805 0.805
3 Tc 0.195 0.195 0.195
4 Sb 0.399 0.399 0.399
5 Sb 0.601 0.601 0.601

* total moment: 0.000 μB per atom
* space group: R-3m (166)


Arrangement x

## Tc3Sb2 (GGA-PBE)

Data for Tc3Sb2 after structural relaxation.

a b c (Å): 8.485 6.618 6.450
angles (deg): 80.97 50.37 48.65
Element x y z (fractional)
1 Tc 0.843 0.418 0.353
2 Tc 0.387 0.353 0.418
3 Tc 0.832 0.407 0.863
4 Tc 0.897 0.863 0.407
5 Tc 0.038 0.962 0.962
6 Tc 0.288 0.212 0.212
7 Sb 0.230 0.859 0.408
8 Sb 0.503 0.408 0.859
9 Sb 0.391 0.020 0.747
10 Sb 0.842 0.747 0.020

* total moment: 0.000 μB per atom
* space group: Fdd2 (43)


Stability, lowest: arrangement x


Arrangement w

## TcSbTe3 (GGA-PBE)

Data for TcSbTe3 after structural relaxation.

a b c (Å): 5.220 5.220 5.220
angles (deg): 90.00 90.00 90.00
Element x y z (fractional)
1 Sb 0.500 0.500 0.500
2 Te 0.000 0.500 0.000
3 Te 0.000 0.000 0.500
4 Te 0.500 0.000 0.000
5 Tc 0.000 0.000 0.000

* total moment: 0.000 μB per atom
* space group: Pm-3m (221)


Arrangement x

## TcSbTe3 (GGA-PBE)

Data for TcSbTe3 after structural relaxation.

a b c (Å): 5.685 5.685 5.685
angles (deg): 90.00 90.00 90.00
Element x y z (fractional)
1 Sb 0.000 0.000 0.000
2 Te 0.000 0.500 0.000
3 Te 0.000 0.000 0.500
4 Te 0.500 0.000 0.000
5 Tc 0.500 0.500 0.500

* total moment: 0.924 μB per atom
* space group: Pm-3m (221)


Stability, lowest: arrangement x


Arrangement w

## TcSb3Te (GGA-PBE)

Data for TcSb3Te after structural relaxation.

a b c (Å): 5.653 5.653 5.653
angles (deg): 90.00 90.00 90.00
Element x y z (fractional)
1 Sb 0.000 0.500 0.000
2 Sb 0.000 0.000 0.500
3 Sb 0.500 0.000 0.000
4 Te 0.000 0.000 0.000
5 Tc 0.500 0.500 0.500

* total moment: 0.634 μB per atom
* space group: Pm-3m (221)


Arrangement x

## TcSb3Te (GGA-PBE)

Data for TcSb3Te after structural relaxation.

a b c (Å): 5.173 5.173 5.173
angles (deg): 90.00 90.00 90.00
Element x y z (fractional)
1 Sb 0.000 0.500 0.000
2 Sb 0.000 0.000 0.500
3 Sb 0.500 0.000 0.000
4 Te 0.500 0.500 0.500
5 Tc 0.000 0.000 0.000

* total moment: 0.000 μB per atom
* space group: Pm-3m (221)


Stability, lowest: arrangement w


Arrangement w

## YTcSbTe2 (GGA-PBE)

Data for YTcSbTe2 after structural relaxation.

a b c (Å): 5.756 5.756 5.835
angles (deg): 90.00 90.00 90.00
Element x y z (fractional)
1 Y 0.000 0.000 0.000
2 Sb 0.000 0.000 0.500
3 Te 0.000 0.500 0.000
4 Te 0.500 0.000 0.000
5 Tc 0.500 0.500 0.500

* total moment: 0.785 μB per atom
* space group: P4/mmm (123)


Arrangement x

## YTcSbTe2 (GGA-PBE)

Data for YTcSbTe2 after structural relaxation.

a b c (Å): 5.430 5.430 4.962
angles (deg): 90.00 90.00 90.00
Element x y z (fractional)
1 Y 0.500 0.500 0.500
2 Sb 0.000 0.000 0.500
3 Te 0.000 0.500 0.000
4 Te 0.500 0.000 0.000
5 Tc 0.000 0.000 0.000

* total moment: 0.170 μB per atom
* space group: P4/mmm (123)


Stability, lowest: arrangement w


Arrangement w

## Th7Tc2Sb2 (GGA-PBE)

Data for Th7Tc2Sb2 after structural relaxation.

a b c (Å): 4.000 9.706 9.706
angles (deg): 60.71 78.11 78.11
Element x y z (fractional)
1 Th 0.819 0.081 0.280
2 Th 0.850 0.417 0.883
3 Th 0.500 0.025 0.975
4 Th 0.633 0.470 0.265
5 Th 0.367 0.735 0.530
6 Th 0.181 0.720 0.919
7 Th 0.150 0.117 0.583
8 Tc 0.730 0.859 0.682
9 Tc 0.270 0.318 0.141
10 Sb 0.000 0.756 0.244
11 Sb 0.500 0.355 0.645

* total moment: 0.000 μB per atom
* space group: Imm2 (44)


Arrangement x

## Th7Tc2Sb2 (GGA-PBE)

Data for Th7Tc2Sb2 after structural relaxation.

a b c (Å): 6.996 7.057 6.996
angles (deg): 90.03 102.21 89.97
Element x y z (fractional)
1 Th 0.000 0.256 0.500
2 Th 0.500 0.744 0.000
3 Th 0.000 0.744 0.500
4 Th 0.500 0.256 0.000
5 Th 0.000 0.000 0.000
6 Th 0.500 0.759 0.500
7 Th 0.500 0.241 0.500
8 Tc 0.750 0.000 0.250
9 Tc 0.250 0.000 0.750
10 Sb 0.815 0.500 0.815
11 Sb 0.185 0.500 0.185

* total moment: 0.000 μB per atom
* space group: Cmmm (65)


Stability, lowest: arrangement x


Arrangement w

## Th2TcSb (GGA-PBE)

Data for Th2TcSb after structural relaxation.

a b c (Å): 3.490 3.490 8.447
angles (deg): 90.00 90.00 90.00
Element x y z (fractional)
1 Sb 0.500 0.500 0.500
2 Tc 0.500 0.500 0.000
3 Th 0.000 0.000 0.787
4 Th 0.000 0.000 0.213

* total moment: 0.000 μB per atom
* space group: P4/mmm (123)


Arrangement x

## Th2TcSb (GGA-PBE)

Data for Th2TcSb after structural relaxation.

a b c (Å): 6.191 6.217 12.162
angles (deg): 91.84 90.00 90.00
Element x y z (fractional)
1 Th 0.795 0.008 0.888
2 Th 0.205 0.992 0.112
3 Th 0.795 0.492 0.612
4 Th 0.205 0.508 0.388
5 Th 0.765 0.462 0.149
6 Th 0.235 0.538 0.851
7 Th 0.765 0.038 0.351
8 Th 0.235 0.962 0.649
9 Tc 0.235 0.491 0.627
10 Tc 0.765 0.509 0.373
11 Tc 0.235 0.009 0.873
12 Tc 0.765 0.991 0.127
13 Sb 0.265 0.007 0.380
14 Sb 0.735 0.993 0.620
15 Sb 0.265 0.493 0.120
16 Sb 0.735 0.507 0.880

* total moment: 0.000 μB per atom
* space group: P2/c (13)


Arrangement y

## Th2TcSb (GGA-PBE)

Data for Th2TcSb after structural relaxation.

a b c (Å): 3.379 3.379 10.976
angles (deg): 81.15 81.15 60.00
Element x y z (fractional)
1 Sb 0.500 0.500 0.500
2 Tc 0.000 0.000 0.000
3 Th 0.079 0.079 0.764
4 Th 0.921 0.921 0.236

* total moment: 0.000 μB per atom
* space group: R-3m (166)


Stability, lowest: arrangement y


Arrangement w

## Th3TcSb2 (GGA-PBE)

Data for Th3TcSb2 after structural relaxation.

a b c (Å): 4.261 6.221 7.764
angles (deg): 113.62 105.93 90.00
Element x y z (fractional)
1 Th 0.361 0.361 0.722
2 Th 0.000 0.000 0.000
3 Th 0.639 0.639 0.278
4 Tc 0.000 0.500 0.000
5 Sb 0.679 0.179 0.359
6 Sb 0.321 0.821 0.641

* total moment: 0.000 μB per atom
* space group: Immm (71)


Arrangement x

## Th3TcSb2 (GGA-PBE)

Data for Th3TcSb2 after structural relaxation.

a b c (Å): 4.391 12.023 12.758
angles (deg): 90.00 90.00 90.00
Element x y z (fractional)
1 Th 0.250 0.374 0.052
2 Th 0.750 0.626 0.948
3 Th 0.750 0.874 0.448
4 Th 0.250 0.126 0.552
5 Th 0.250 0.718 0.241
6 Th 0.750 0.282 0.759
7 Th 0.750 0.218 0.259
8 Th 0.250 0.782 0.741
9 Th 0.250 0.452 0.377
10 Th 0.750 0.548 0.623
11 Th 0.750 0.952 0.123
12 Th 0.250 0.048 0.877
13 Tc 0.250 0.132 0.129
14 Tc 0.750 0.868 0.871
15 Tc 0.750 0.632 0.371
16 Tc 0.250 0.368 0.629
17 Sb 0.250 0.693 0.499
18 Sb 0.750 0.307 0.501
19 Sb 0.750 0.193 0.001
20 Sb 0.250 0.807 0.999
21 Sb 0.250 0.007 0.313
22 Sb 0.750 0.993 0.687
23 Sb 0.750 0.507 0.187
24 Sb 0.250 0.493 0.813

* total moment: 0.000 μB per atom
* space group: Pnma (62)


Stability, lowest: arrangement w


Arrangement w

## Tl2TcSb (GGA-PBE)

Data for Tl2TcSb after structural relaxation.

a b c (Å): 10.443 10.443 10.443
angles (deg): 18.48 18.48 18.48
Element x y z (fractional)
1 Sb 0.479 0.479 0.479
2 Tc 0.753 0.753 0.753
3 Tl 0.015 0.015 0.015
4 Tl 0.253 0.253 0.253

* total moment: 0.000 μB per atom
* space group: R3m (160)


Arrangement x

## Tl2TcSb (GGA-PBE)

Data for Tl2TcSb after structural relaxation.

a b c (Å): 4.871 6.379 3.489
angles (deg): 74.73 88.47 112.00
Element x y z (fractional)
1 Sb 0.000 0.500 0.500
2 Tc 0.500 0.500 0.000
3 Tl 0.000 0.000 0.000
4 Tl 0.500 0.000 0.500

* total moment: 0.485 μB per atom
* space group: C2/m (12)


Stability, lowest: arrangement x


Arrangement w

## Tl2TcSb (GGA-PBE)

Data for Tl2TcSb after structural relaxation.

a b c (Å): 10.342 10.342 10.342
angles (deg): 18.21 18.21 18.21
Element x y z (fractional)
1 Sb 0.250 0.250 0.250
2 Tc 0.750 0.750 0.750
3 Tl 0.010 0.010 0.010
4 Tl 0.490 0.490 0.490

* total moment: 0.266 μB per atom
* space group: R-3m (166)


Arrangement x

## Tl2TcSb (GGA-PBE)

Data for Tl2TcSb after structural relaxation.

a b c (Å): 8.085 8.085 4.380
angles (deg): 74.24 74.24 22.40
Element x y z (fractional)
1 Sb 0.750 0.750 0.750
2 Tc 0.250 0.250 0.250
3 Tl 0.929 0.929 0.071
4 Tl 0.571 0.571 0.429

* total moment: 0.102 μB per atom
* space group: Immm (71)


Stability, lowest: arrangement w